No. 1
BaLi2Fe | PBE-GGA | optimized geometry

The space group is Imm2 (44). Its total energy is -2.9869 eV/atom. As for the formation energy: 0.566 eV per atom. The calculation puts the excess energy over the best structure of this formula in the dataset at 116.9 meV per atom. As for the density of states at the Fermi level: 9.0 states/eV/cell.

Lattice parameters (Å, degrees): 3.829 5.367 9.768 90.00 90.00 90.00
Element x y z (fractional)
Ba (0.000, 0.000, 0.000)
Ba (0.500, 0.500, 0.500)
Li (0.000, 0.000, 0.452)
Li (0.000, 0.500, 0.210)
Li (0.500, 0.000, 0.710)
Li (0.500, 0.500, 0.952)
Fe (0.000, 0.500, 0.764)
Fe (0.500, 0.000, 0.264)

---

No. 2
BaLiFe4 | PBE-GGA | optimized geometry

The space group is F-43m (216). Its total energy is -5.7516 eV/atom. As for the formation energy: 0.530 eV per atom. As for the density of states at the Fermi level: 6.2 states/eV/cell.

Lattice parameters (Å, degrees): 5.214 5.214 5.214 60.00 60.00 60.00
Element x y z (fractional)
Ba (0.000, 0.000, 0.000)
Li (0.250, 0.250, 0.250)
Fe (0.140, 0.620, 0.620)
Fe (0.620, 0.140, 0.620)
Fe (0.620, 0.620, 0.140)
Fe (0.620, 0.620, 0.620)

---

No. 3
BaLi2Fe | PBE-GGA | optimized geometry

The space group is R-3m (166). Its total energy is -2.8362 eV/atom. As for the formation energy: 0.717 eV per atom. The calculation puts the excess energy over the best structure of this formula in the dataset at 267.6 meV per atom. As for the density of states at the Fermi level: 15.2 states/eV/cell.

Lattice parameters (Å, degrees): 3.312 3.312 30.208 90.00 90.00 120.00
Element x y z (fractional)
Ba (0.000, 0.000, 0.000)
Ba (0.333, 0.667, 0.667)
Ba (0.667, 0.333, 0.333)
Li (0.000, 0.000, 0.230)
Li (0.000, 0.000, 0.770)
Li (0.333, 0.667, 0.436)
Li (0.333, 0.667, 0.897)
Li (0.667, 0.333, 0.103)
Li (0.667, 0.333, 0.564)
Fe (0.000, 0.000, 0.500)
Fe (0.333, 0.667, 0.167)
Fe (0.667, 0.333, 0.833)

---

No. 4
BaLiFe2 | PBE-GGA | optimized geometry

The space group is Imm2 (44). Its total energy is -4.5536 eV/atom. As for the formation energy: 0.637 eV per atom. The calculation puts the excess energy over the best structure of this formula in the dataset at 143.5 meV per atom. As for the density of states at the Fermi level: 7.8 states/eV/cell.

Lattice parameters (Å, degrees): 3.452 5.203 9.851 90.00 90.00 90.00
Element x y z (fractional)
Ba (0.000, 0.000, 0.000)
Ba (0.500, 0.500, 0.500)
Li (0.000, 0.500, 0.203)
Li (0.500, 0.000, 0.703)
Fe (0.000, 0.000, 0.442)
Fe (0.000, 0.500, 0.786)
Fe (0.500, 0.000, 0.286)
Fe (0.500, 0.500, 0.942)

---

No. 5
Ba3LiFe | PBE-GGA | optimized geometry

The space group is Pm-3m (221). Its total energy is -2.7768 eV/atom. As for the formation energy: 0.452 eV per atom. As for the density of states at the Fermi level: 7.0 states/eV/cell.

Lattice parameters (Å, degrees): 5.944 5.944 5.944 90.00 90.00 90.00
Element x y z (fractional)
Ba (0.000, 0.000, 0.500)
Ba (0.000, 0.500, 0.000)
Ba (0.500, 0.000, 0.000)
Li (0.500, 0.500, 0.500)
Fe (0.000, 0.000, 0.000)

---

No. 6
BaLi2Fe | PBE-GGA | optimized geometry

The space group is Cmmm (65). Its total energy is -2.8685 eV/atom. As for the formation energy: 0.685 eV per atom. The calculation puts the excess energy over the best structure of this formula in the dataset at 235.4 meV per atom. As for the density of states at the Fermi level: 10.2 states/eV/cell.

Lattice parameters (Å, degrees): 6.031 9.666 3.211 90.00 90.00 90.00
Element x y z (fractional)
Ba (0.000, 0.000, 0.000)
Ba (0.500, 0.500, 0.000)
Li (0.250, 0.250, 0.500)
Li (0.250, 0.750, 0.500)
Li (0.750, 0.250, 0.500)
Li (0.750, 0.750, 0.500)
Fe (0.000, 0.500, 0.000)
Fe (0.500, 0.000, 0.000)

---

No. 7
BaLiFe2 | PBE-GGA | optimized geometry

The space group is Cmmm (65). Its total energy is -4.2615 eV/atom. As for the formation energy: 0.929 eV per atom. The calculation puts the excess energy over the best structure of this formula in the dataset at 435.6 meV per atom. As for the density of states at the Fermi level: 9.4 states/eV/cell.

Lattice parameters (Å, degrees): 5.535 9.305 3.145 90.00 90.00 90.00
Element x y z (fractional)
Ba (0.000, 0.000, 0.000)
Ba (0.500, 0.500, 0.000)
Li (0.000, 0.500, 0.000)
Li (0.500, 0.000, 0.000)
Fe (0.250, 0.250, 0.500)
Fe (0.250, 0.750, 0.500)
Fe (0.750, 0.250, 0.500)
Fe (0.750, 0.750, 0.500)

---

No. 8
BaLiFe2 | PBE-GGA | optimized geometry

The space group is Fm-3m (225). Its total energy is -4.1757 eV/atom. As for the formation energy: 1.015 eV per atom. The calculation puts the excess energy over the best structure of this formula in the dataset at 521.4 meV per atom. As for the density of states at the Fermi level: 38.1 states/eV/cell.

Lattice parameters (Å, degrees): 7.147 7.147 7.147 90.00 90.00 90.00
Element x y z (fractional)
Ba (0.000, 0.000, 0.000)
Ba (0.000, 0.500, 0.500)
Ba (0.500, 0.000, 0.500)
Ba (0.500, 0.500, 0.000)
Li (0.000, 0.000, 0.500)
Li (0.000, 0.500, 0.000)
Li (0.500, 0.000, 0.000)
Li (0.500, 0.500, 0.500)
Fe (0.250, 0.250, 0.250)
Fe (0.250, 0.250, 0.750)
Fe (0.250, 0.750, 0.250)
Fe (0.250, 0.750, 0.750)
Fe (0.750, 0.250, 0.250)
Fe (0.750, 0.250, 0.750)
Fe (0.750, 0.750, 0.250)
Fe (0.750, 0.750, 0.750)

---

No. 9
BaLi2Fe | PBE-GGA | optimized geometry

The space group is Pm (6). Its total energy is -3.0516 eV/atom. As for the formation energy: 0.502 eV per atom. The calculation puts the excess energy over the best structure of this formula in the dataset at 52.3 meV per atom. As for the density of states at the Fermi level: 5.0 states/eV/cell.

Lattice parameters (Å, degrees): 3.688 4.388 6.884 90.00 105.44 90.00
Element x y z (fractional)
Ba (0.000, 0.000, 0.000)
Li (0.277, 0.500, 0.559)
Li (0.731, 0.000, 0.467)
Fe (0.623, 0.500, 0.249)

---

No. 10
Ba4LiFe | PBE-GGA | optimized geometry

The space group is F-43m (216). Its total energy is -2.1309 eV/atom. As for the formation energy: 0.880 eV per atom. As for the density of states at the Fermi level: 15.2 states/eV/cell.

Lattice parameters (Å, degrees): 7.467 7.467 7.467 60.00 60.00 60.00
Element x y z (fractional)
Ba (0.124, 0.124, 0.124)
Ba (0.124, 0.124, 0.627)
Ba (0.124, 0.627, 0.124)
Ba (0.627, 0.124, 0.124)
Li (0.500, 0.500, 0.500)
Fe (0.750, 0.750, 0.750)

---

No. 11
BaLi4Fe | PBE-GGA | optimized geometry

The space group is F-43m (216). Its total energy is -2.6317 eV/atom. As for the formation energy: 0.375 eV per atom. As for the density of states at the Fermi level: 6.4 states/eV/cell.

Lattice parameters (Å, degrees): 5.789 5.789 5.789 60.00 60.00 60.00
Element x y z (fractional)
Ba (0.000, 0.000, 0.000)
Li (0.379, 0.379, 0.379)
Li (0.379, 0.379, 0.863)
Li (0.379, 0.863, 0.379)
Li (0.863, 0.379, 0.379)
Fe (0.750, 0.750, 0.750)

---

No. 12
BaLiFe2 | PBE-GGA | optimized geometry

The space group is I4_1/amd (141). Its total energy is -4.4405 eV/atom. As for the formation energy: 0.750 eV per atom. The calculation puts the excess energy over the best structure of this formula in the dataset at 256.6 meV per atom. As for the density of states at the Fermi level: 18.9 states/eV/cell.

Lattice parameters (Å, degrees): 4.639 4.639 18.591 90.00 90.00 90.00
Element x y z (fractional)
Ba (0.000, 0.250, 0.375)
Ba (0.000, 0.750, 0.625)
Ba (0.500, 0.250, 0.125)
Ba (0.500, 0.750, 0.875)
Li (0.000, 0.250, 0.875)
Li (0.000, 0.750, 0.125)
Li (0.500, 0.250, 0.625)
Li (0.500, 0.750, 0.375)
Fe (0.000, 0.000, 0.000)
Fe (0.000, 0.500, 0.000)
Fe (0.250, 0.250, 0.750)
Fe (0.250, 0.750, 0.250)
Fe (0.500, 0.000, 0.500)
Fe (0.500, 0.500, 0.500)
Fe (0.750, 0.250, 0.750)
Fe (0.750, 0.750, 0.250)